Y2ZnOs: single point on PBEsol structure, SCAN.

The value obtained for the formation energy is -0.227 eV/atom. Its calculated density is 8664 kg/m3. As for the space group: Imm2. The density of states at the Fermi level comes out at 3.61 states/eV per cell.

Cell and atoms, written as POSCAR:
```
Y2ZnOs
1.0
3.354 0.000 0.000
0.000 4.753 0.000
0.000 0.000 10.421
Y Zn Os
4 2 2
Cartesian
0.000 0.000 0.000
0.000 2.376 2.156
1.677 0.000 7.367
1.677 2.376 5.210
0.000 2.376 8.239
1.677 0.000 3.029
0.000 0.000 4.982
1.677 2.376 10.192
```

---

Y2ZnOs: single point on PBEsol structure, SCAN.

The value obtained for the formation energy is 0.274 eV/atom. Its calculated density is 8144 kg/m3. As for the space group: R3m. The density of states at the Fermi level comes out at 7.15 states/eV per cell.

Cell and atoms, written as POSCAR:
```
Y2ZnOs
1.0
3.342 0.000 0.000
-1.671 2.894 0.000
0.000 0.000 27.415
Y Zn Os
6 3 3
Cartesian
0.000 0.000 0.000
0.000 0.000 5.913
0.000 1.929 18.277
0.000 1.929 24.189
1.671 0.965 9.138
1.671 0.965 15.051
0.000 0.000 20.524
0.000 1.929 11.386
1.671 0.965 2.248
0.000 0.000 13.069
0.000 1.929 3.930
1.671 0.965 22.207
```

---

Repeat the first record exactly.
Y2ZnOs: single point on PBEsol structure, SCAN.

The value obtained for the formation energy is -0.227 eV/atom. Its calculated density is 8664 kg/m3. As for the space group: Imm2. The density of states at the Fermi level comes out at 3.61 states/eV per cell.

Cell and atoms, written as POSCAR:
```
Y2ZnOs
1.0
3.354 0.000 0.000
0.000 4.753 0.000
0.000 0.000 10.421
Y Zn Os
4 2 2
Cartesian
0.000 0.000 0.000
0.000 2.376 2.156
1.677 0.000 7.367
1.677 2.376 5.210
0.000 2.376 8.239
1.677 0.000 3.029
0.000 0.000 4.982
1.677 2.376 10.192
```

---

> What is the formula in the second record?

Y2ZnOs

---

> Which formula does entry 2 have?

Y2ZnOs